The following is a GGA+U calculation of crystalline MnCr2PO8 at its relaxed geometry, from Alexandria via LeMat-Bulk.

Unit cell a=6.227 b=6.313 c=5.776 alpha=90.00 beta=90.00 gamma=90.00
Space group Cmmm (No. 65)
Unique sites:
Mn 0.000 0.000 0.000 [2 per cell]
Cr 0.000 0.500 0.256 [4 per cell]
P 0.000 0.000 0.500 [2 per cell]
O 0.000 0.182 0.278 [8 per cell]
O 0.198 0.500 0.000 [4 per cell]
O 0.220 0.500 0.500 [4 per cell]

Output
The energy is -7.284 eV per atom. The value obtained for the calculated volume is 9.46 A^3/atom. The magnetic moment comes out at 0.667 μB per atom.